Record 1
{
  "formula": "BaSb2O4",
  "functional": "GGA-PBE",
  "state": "optimized geometry",
  "dft_energy_ev_per_atom": -6.036,
  "raw_formation_energy_ev_per_atom": -1.75,
  "spacegroup": "P1 (1)",
  "polymorph_energy_mev_per_atom": 0.0,
  "lattice": [[7.023, 0.000, 0.000], [-3.103, 6.583, 0.000], [-1.490, -3.520, 6.322]],
  "species": ["Ba", "Ba", "Sb", "Sb", "Sb", "Sb", "O", "O", "O", "O", "O", "O", "O", "O"],
  "frac_coords": [[0.000, 0.000, 0.000], [0.266, 0.507, 0.743], [0.148, 0.746, 0.311], [0.584, 0.299, 0.394], [0.631, 0.285, 0.915], [0.707, 0.842, 0.436], [0.253, 0.788, 0.096], [0.296, 0.225, 0.423], [0.410, 0.746, 0.486], [0.463, 0.282, 0.111], [0.680, 0.578, 0.941], [0.767, 0.652, 0.558], [0.927, 0.387, 0.141], [0.928, 0.128, 0.704]]
}

---

Record 2
{
  "formula": "ReOs2Se",
  "functional": "GGA-PBE",
  "state": "optimized geometry",
  "dft_energy_ev_per_atom": -8.745,
  "raw_formation_energy_ev_per_atom": 0.85,
  "spacegroup": "Cmm2 (35)",
  "lattice": [[1.389, -2.389, 0.000], [1.389, 2.389, 0.000], [0.000, 0.000, 9.522]],
  "species": ["Re", "Os", "Os", "Se"],
  "frac_coords": [[0.000, 0.000, 0.000], [0.000, 0.000, 0.472], [0.500, 0.500, 0.234], [0.500, 0.500, 0.730]]
}

---

Record 3
{
  "formula": "Th3Si3Rh2",
  "functional": "GGA-PBE",
  "state": "optimized geometry",
  "dft_energy_ev_per_atom": -7.597,
  "raw_formation_energy_ev_per_atom": -0.94,
  "spacegroup": "Cmcm (63)",
  "polymorph_energy_mev_per_atom": 0.0,
  "lattice": [[2.099, -5.452, 0.000], [2.099, 5.452, 0.000], [0.000, 0.000, 15.209]],
  "species": ["Th", "Th", "Th", "Th", "Th", "Th", "Si", "Si", "Si", "Si", "Si", "Si", "Rh", "Rh", "Rh", "Rh"],
  "frac_coords": [[0.083, 0.917, 0.750], [0.360, 0.640, 0.593], [0.360, 0.640, 0.907], [0.640, 0.360, 0.093], [0.640, 0.360, 0.407], [0.917, 0.083, 0.250], [0.079, 0.921, 0.552], [0.079, 0.921, 0.948], [0.199, 0.801, 0.250], [0.801, 0.199, 0.750], [0.921, 0.079, 0.052], [0.921, 0.079, 0.448], [0.351, 0.649, 0.121], [0.351, 0.649, 0.379], [0.649, 0.351, 0.621], [0.649, 0.351, 0.879]]
}

---

Record 4
{
  "formula": "MgZr2GeH",
  "functional": "GGA-PBE",
  "state": "optimized geometry",
  "dft_energy_ev_per_atom": -5.673,
  "spacegroup": "P4/mmm (123)",
  "lattice": [[4.313, 0.000, 0.000], [0.000, 4.313, 0.000], [0.000, 0.000, 4.348]],
  "species": ["Mg", "Zr", "Zr", "Ge", "H"],
  "frac_coords": [[0.000, 0.000, 0.000], [0.000, 0.500, 0.500], [0.500, 0.000, 0.500], [0.500, 0.500, 0.000], [0.000, 0.000, 0.500]]
}

---

Record 5
{
  "formula": "TiGa2SbBr",
  "functional": "GGA-PBE",
  "state": "optimized geometry",
  "dft_energy_ev_per_atom": -2.988,
  "raw_formation_energy_ev_per_atom": 0.96,
  "spacegroup": "P4/mmm (123)",
  "lattice": [[5.166, 0.000, 0.000], [0.000, 5.166, 0.000], [0.000, 0.000, 5.473]],
  "species": ["Ti", "Ga", "Ga", "Sb", "Br"],
  "frac_coords": [[0.000, 0.000, 0.000], [0.000, 0.500, 0.500], [0.500, 0.000, 0.500], [0.500, 0.500, 0.000], [0.500, 0.500, 0.500]]
}

---

Record 6
{
  "formula": "PrNdGaNi",
  "functional": "GGA-PBE",
  "state": "optimized geometry",
  "formation_energy_ev_per_atom": -0.313,
  "dft_energy_ev_per_atom": -4.902,
  "spacegroup": "F-43m (216)",
  "polymorph_energy_mev_per_atom": 86.6,
  "lattice": [[0.000, 3.631, 3.631], [3.631, 0.000, 3.631], [3.631, 3.631, 0.000]],
  "species": ["Pr", "Nd", "Ga", "Ni"],
  "frac_coords": [[0.000, 0.000, 0.000], [0.500, 0.500, 0.500], [0.750, 0.750, 0.750], [0.250, 0.250, 0.250]]
}